The following is a DFT calculation (GGA-PBE) of a geometry-optimized PmHSO structure.

Properties
The calculation puts the total magnetic moment at 0.00 μB per formula unit. The value obtained for the total energy is -49.9 eV/cell.

Unit cell a=4.1312 b=4.1312 c=9.2925 alpha=77.16 beta=77.16 gamma=60.00
Closest atoms and distances in Å follow each position.
Element x y z (fractional)
H 0.2113 0.2113 0.3661  1 O 0.99
H 0.7887 0.7887 0.6339  1 O 0.99
Pm 0.5979 0.5979 0.2063  3 O 2.43, 1 S 2.64
Pm 0.4021 0.4021 0.7937  3 O 2.43, 1 S 2.64
S 0.5000 0.5000 0.5000  2 Pm 2.64, 6 H 2.67
S 0.0000 0.0000 0.0000  6 Pm 3.02, 6 O 3.31
O 0.2482 0.2482 0.2554  1 H 0.99
O 0.7518 0.7518 0.7446  1 H 0.99